First-principles (PBE+U) data for NiHF2 after structural relaxation, as listed in the Alexandria database.

Cell lengths 4.671, 4.671, 4.671 Å; angles 123.53, 123.53, 83.99 degrees
Positions (direct):
Ni  0.000  0.000  0.000
Ni  0.750  0.250  0.500
H  0.250  0.750  0.500
H  0.500  0.500  0.000
F  0.238  0.625  0.113
F  0.375  0.488  0.613
F  0.512  0.125  0.887
F  0.875  0.762  0.387

Calculated values
Total moment = 0.250 μB per atom
Calculated total energy = -3.2566 eV per atom
Excess energy over the best structure of this formula in the dataset = 0.192 eV per atom